VASP calculation (GGA-PBE) on an optimized crystal structure of BaTl2Ir2.

**Size of the total moment**: 0.00 Bohr magnetons per cell
**Fermi-level density of states**: 1.4 states/eV/cell
**DFT formation energy**: 0.169 eV/atom
**ρ**: 12181 kg/m³
**Space group**: I4/mmm
**E**: -23.53 eV for the cell shown
**ΔE to the lowest computed polymorph**: 0.1693 eV/atom

a b c (Å): 4.707 4.707 6.623
angles (deg): 69.18 69.18 90.00
Atoms (fractional coordinates):
Tl 0.369 0.369 0.263
Tl 0.631 0.631 0.737
Ir 0.750 0.250 0.500
Ir 0.250 0.750 0.500
Ba 0.000 0.000 0.000